1.
Compound: KGd2Ho
Source: the Alexandria database
Functional: GGA-PBE
Structure: optimized geometry

## Properties
The value obtained for the size of the total moment is 14.92 μB per cell. For the energy relative to the elements, the calculation gives 0.22 eV per atom. As for the density of states at the Fermi level: 5.368 states/eV/cell.

Lattice parameters (Å, degrees): 13.370 13.370 13.370 15.46 15.46 15.46
Element x y z (fractional)
K1 0.000 0.000 0.000
Gd1 0.096 0.096 0.096
Gd2 0.904 0.904 0.904
Ho1 0.500 0.500 0.500

---

2.
Compound: La2GdHo
Source: the Alexandria database
Functional: GGA-PBE
Structure: optimized geometry

## Properties
The value obtained for the size of the total moment is 7.83 μB per cell. For the energy relative to the elements, the calculation gives 0.09 eV per atom. As for the density of states at the Fermi level: 7.473 states/eV/cell. The calculation puts the polymorph energy (0 for the lowest one) at 69 meV per atom.

Lattice parameters (Å, degrees): 5.815 5.815 5.815 60.00 60.00 60.00
Element x y z (fractional)
La1 0.250 0.250 0.250
La2 0.750 0.750 0.750
Gd1 0.000 0.000 0.000
Ho1 0.500 0.500 0.500

---

3.
Compound: LaGdHo
Source: the Alexandria database
Functional: GGA-PBE
Structure: optimized geometry

## Properties
The value obtained for the size of the total moment is 7.40 μB per cell. For the energy relative to the elements, the calculation gives 0.07 eV per atom. As for the density of states at the Fermi level: 5.273 states/eV/cell. The calculation puts the polymorph energy (0 for the lowest one) at 48 meV per atom.

Lattice parameters (Å, degrees): 5.731 5.731 3.511 90.00 90.00 120.00
Element x y z (fractional)
La1 0.000 0.000 0.000
Gd1 0.667 0.333 0.500
Ho1 0.333 0.667 0.000

---

4.
Compound: La2GdHo
Source: the Alexandria database
Functional: GGA-PBE
Structure: optimized geometry

## Properties
The value obtained for the size of the total moment is 7.39 μB per cell. For the energy relative to the elements, the calculation gives 0.02 eV per atom. As for the density of states at the Fermi level: 6.052 states/eV/cell. The calculation puts the polymorph energy (0 for the lowest one) at 0 meV per atom.

Lattice parameters (Å, degrees): 5.210 5.210 5.061 90.00 90.00 90.00
Element x y z (fractional)
La1 0.000 0.500 0.000
La2 0.500 0.000 0.000
Gd1 0.000 0.000 0.500
Ho1 0.500 0.500 0.500

---

5.
Compound: LaGdHo
Source: the Alexandria database
Functional: GGA-PBE
Structure: optimized geometry

## Properties
The value obtained for the size of the total moment is 7.41 μB per cell. For the energy relative to the elements, the calculation gives 0.03 eV per atom. As for the density of states at the Fermi level: 4.850 states/eV/cell. The calculation puts the polymorph energy (0 for the lowest one) at 0 meV per atom.

Lattice parameters (Å, degrees): 7.996 7.996 7.996 153.60 153.60 37.68
Element x y z (fractional)
La1 0.000 0.000 0.000
Gd1 0.672 0.672 0.000
Ho1 0.334 0.334 0.000

---

6.
Compound: La2GdHo
Source: the Alexandria database
Functional: GGA-PBE
Structure: optimized geometry

## Properties
The value obtained for the size of the total moment is 7.45 μB per cell. For the energy relative to the elements, the calculation gives 0.02 eV per atom. As for the density of states at the Fermi level: 6.334 states/eV/cell. The calculation puts the polymorph energy (0 for the lowest one) at 0 meV per atom.

Lattice parameters (Å, degrees): 3.683 3.683 10.162 90.00 90.00 90.00
Element x y z (fractional)
La1 0.000 0.000 0.247
La2 0.000 0.000 0.753
Gd1 0.500 0.500 0.500
Ho1 0.500 0.500 0.000

---

7.
Compound: La2GdHo
Source: the Alexandria database
Functional: GGA-PBE
Structure: optimized geometry

## Properties
The value obtained for the size of the total moment is 7.80 μB per cell. For the energy relative to the elements, the calculation gives 0.15 eV per atom. As for the density of states at the Fermi level: 7.411 states/eV/cell. The calculation puts the polymorph energy (0 for the lowest one) at 133 meV per atom.

Lattice parameters (Å, degrees): 12.821 12.821 12.821 15.93 15.93 15.93
Element x y z (fractional)
La1 0.088 0.088 0.088
La2 0.912 0.912 0.912
Gd1 0.000 0.000 0.000
Ho1 0.500 0.500 0.500

---

8.
Compound: LaGdHo2
Source: the Alexandria database
Functional: GGA-PBE
Structure: optimized geometry

## Properties
The value obtained for the size of the total moment is 7.41 μB per cell. For the energy relative to the elements, the calculation gives 0.03 eV per atom. As for the density of states at the Fermi level: 6.504 states/eV/cell. The calculation puts the polymorph energy (0 for the lowest one) at 0 meV per atom.

Lattice parameters (Å, degrees): 5.109 5.109 5.038 90.00 90.00 90.00
Element x y z (fractional)
La1 0.000 0.000 0.000
Gd1 0.500 0.500 0.000
Ho1 0.000 0.500 0.500
Ho2 0.500 0.000 0.500

---

9.
Compound: LaGdHo4
Source: the Alexandria database
Functional: GGA-PBE
Structure: optimized geometry

## Properties
The value obtained for the size of the total moment is 8.53 μB per cell. For the energy relative to the elements, the calculation gives 0.25 eV per atom. As for the density of states at the Fermi level: 13.979 states/eV/cell.

Lattice parameters (Å, degrees): 6.625 6.625 6.625 60.00 60.00 60.00
Element x y z (fractional)
La1 0.000 0.000 0.000
Gd1 0.750 0.750 0.750
Ho1 0.375 0.375 0.375
Ho2 0.375 0.375 0.875
Ho3 0.375 0.875 0.375
Ho4 0.875 0.375 0.375

---

10.
Compound: LaGdHo2
Source: the Alexandria database
Functional: GGA-PBE
Structure: optimized geometry

## Properties
The value obtained for the size of the total moment is 7.66 μB per cell. For the energy relative to the elements, the calculation gives 0.10 eV per atom. As for the density of states at the Fermi level: 7.685 states/eV/cell. The calculation puts the polymorph energy (0 for the lowest one) at 75 meV per atom.

Lattice parameters (Å, degrees): 5.733 5.733 5.733 60.00 60.00 60.00
Element x y z (fractional)
La1 0.000 0.000 0.000
Gd1 0.500 0.500 0.500
Ho1 0.250 0.250 0.250
Ho2 0.750 0.750 0.750

---

11.
Compound: LiLaGdHo
Source: the Alexandria database
Functional: GGA-PBE
Structure: optimized geometry

## Properties
The value obtained for the size of the total moment is 7.38 μB per cell. For the energy relative to the elements, the calculation gives 0.16 eV per atom. As for the density of states at the Fermi level: 4.730 states/eV/cell.

Lattice parameters (Å, degrees): 5.584 5.584 5.584 60.00 60.00 60.00
Element x y z (fractional)
Li1 0.000 0.000 0.000
La1 0.750 0.750 0.750
Gd1 0.250 0.250 0.250
Ho1 0.500 0.500 0.500

---

12.
Compound: LaGdHoLu
Source: the Alexandria database
Functional: GGA-PBE
Structure: optimized geometry

## Properties
The value obtained for the size of the total moment is 7.48 μB per cell. For the energy relative to the elements, the calculation gives 0.09 eV per atom. As for the density of states at the Fermi level: 6.622 states/eV/cell.

Lattice parameters (Å, degrees): 5.707 5.707 5.707 60.00 60.00 60.00
Element x y z (fractional)
La1 0.000 0.000 0.000
Gd1 0.500 0.500 0.500
Ho1 0.750 0.750 0.750
Lu1 0.250 0.250 0.250

---

V
In order: 148; 139; 100; 137; 101; 138; 138; 132; 206; 133; 123; 131
Unit: Å³ per cell